1.
A geometry-optimized Sm4Sn8Pd structure. Source: Alexandria via LeMat-Bulk, functional PBE.

Formation enthalpy at 0 K ... -0.647 eV/atom

abc: 4.443 4.485 17.341
angles: 90.00 90.00 90.00
Space group Pmm2 (No. 25)
Unique sites:
Sm (0.000, 0.000, 0.000) [1 per cell]
Sm (0.000, 0.500, 0.484) [1 per cell]
Sm (0.500, 0.000, 0.788) [1 per cell]
Sm (0.500, 0.500, 0.289) [1 per cell]
Sn (0.000, 0.000, 0.323) [1 per cell]
Sn (0.000, 0.000, 0.622) [1 per cell]
Sn (0.000, 0.500, 0.143) [1 per cell]
Sn (0.000, 0.500, 0.857) [1 per cell]
Sn (0.500, 0.000, 0.147) [1 per cell]
Sn (0.500, 0.000, 0.440) [1 per cell]
Sn (0.500, 0.500, 0.621) [1 per cell]
Sn (0.500, 0.500, 0.969) [1 per cell]
Pd (0.000, 0.500, 0.708) [1 per cell]

2.
A geometry-optimized Pr3TlCu2 structure. Source: Alexandria via LeMat-Bulk, functional PBE.

Formation enthalpy at 0 K ... -0.198 eV/atom
Relative energy among the computed polymorphs ... 0 meV/atom

abc: 3.655 3.655 11.668
angles: 90.00 90.00 90.00
Space group P4/mmm (No. 123)
Unique sites:
Pr (0.000, 0.000, 0.000) [1 per cell]
Pr (0.000, 0.000, 0.309) [2 per cell]
Tl (0.500, 0.500, 0.500) [1 per cell]
Cu (0.500, 0.500, 0.152) [2 per cell]

Summary of VASP energy in eV/atom
-4.962; -4.348
(order as listed above)
Summary of DOS at the Fermi energy in states/eV/cell
6.305; 5.565
(order as listed above)
Summary of mass density in kg/m³
7965; 8034
(order as listed above)